# 1
## BS2NCl (PBE)

Data for a geometry-optimized BS2NCl structure.

Computed properties:
distance to the lowest polymorph of the same formula	5.809	eV per formula unit
crystal system	tetragonal

Lattice parameters (Å, degrees): 3.7865 3.7865 7.4312 90.00 90.00 90.00
Sites, in units of the cell vectors:
B (0.0000, 0.0000, 0.0000)
S (0.0000, 0.5000, 0.5000)
S (0.5000, 0.0000, 0.5000)
N (0.5000, 0.5000, 0.5000)
Cl (0.5000, 0.5000, 0.0000)


# 2
## BS2NCl (PBE)

Data for a geometry-optimized BS2NCl structure.

Computed properties:
distance to the lowest polymorph of the same formula	0.000	eV per formula unit
crystal system	tetragonal

Lattice parameters (Å, degrees): 7.9225 7.9225 2.4822 90.00 90.00 90.00
Sites, in units of the cell vectors:
B (0.0000, 0.0000, 0.0000)
S (0.0000, 0.5000, 0.0000)
S (0.5000, 0.0000, 0.0000)
N (0.0000, 0.0000, 0.5000)
Cl (0.5000, 0.5000, 0.5000)


# 3
## BSN2Cl (PBE)

Data for a geometry-optimized BSN2Cl structure.

Computed properties:
distance to the lowest polymorph of the same formula	0.000	eV per formula unit
crystal system	tetragonal

Lattice parameters (Å, degrees): 3.2148 3.2148 7.4762 90.00 90.00 90.00
Sites, in units of the cell vectors:
B (0.0000, 0.0000, 0.0000)
S (0.0000, 0.0000, 0.5000)
N (0.0000, 0.5000, 0.0000)
N (0.5000, 0.0000, 0.0000)
Cl (0.5000, 0.5000, 0.5000)


# 4
## BS2NCl (PBE)

Data for a geometry-optimized BS2NCl structure.

Computed properties:
distance to the lowest polymorph of the same formula	6.302	eV per formula unit
crystal system	tetragonal

Lattice parameters (Å, degrees): 4.1551 4.1551 4.5474 90.00 90.00 90.00
Sites, in units of the cell vectors:
B (0.0000, 0.0000, 0.0000)
S (0.0000, 0.5000, 0.0000)
S (0.5000, 0.0000, 0.0000)
N (0.5000, 0.5000, 0.5000)
Cl (0.0000, 0.0000, 0.5000)


# 5
## BSNCl2 (PBE)

Data for a geometry-optimized BSNCl2 structure.

Computed properties:
distance to the lowest polymorph of the same formula	0.639	eV per formula unit
crystal system	tetragonal

Lattice parameters (Å, degrees): 5.8848 5.8848 3.2151 90.00 90.00 90.00
Sites, in units of the cell vectors:
B (0.0000, 0.0000, 0.0000)
S (0.5000, 0.5000, 0.0000)
N (0.5000, 0.5000, 0.5000)
Cl (0.0000, 0.5000, 0.5000)
Cl (0.5000, 0.0000, 0.5000)


# 6
## BS2NCl (PBE)

Data for a geometry-optimized BS2NCl structure.

Computed properties:
distance to the lowest polymorph of the same formula	10.103	eV per formula unit
crystal system	tetragonal

Lattice parameters (Å, degrees): 4.8872 4.8872 3.3690 90.00 90.00 90.00
Sites, in units of the cell vectors:
B (0.0000, 0.0000, 0.0000)
S (0.0000, 0.5000, 0.5000)
S (0.5000, 0.0000, 0.5000)
N (0.5000, 0.5000, 0.0000)
Cl (0.5000, 0.5000, 0.5000)


# 7
## Sc2BNCl (PBE)

Data for a geometry-optimized Sc2BNCl structure.

Computed properties:
crystal system	tetragonal

Lattice parameters (Å, degrees): 4.7861 4.7861 3.4419 90.00 90.00 90.00
Sites, in units of the cell vectors:
Sc (0.0000, 0.5000, 0.0000)
Sc (0.5000, 0.0000, 0.0000)
B (0.0000, 0.0000, 0.5000)
N (0.5000, 0.5000, 0.5000)
Cl (0.5000, 0.5000, 0.0000)


# 8
## BSe2NCl (PBE)

Data for a geometry-optimized BSe2NCl structure.

Computed properties:
distance to the lowest polymorph of the same formula	0.000	eV per formula unit
crystal system	tetragonal

Lattice parameters (Å, degrees): 8.0309 8.0309 2.5188 90.00 90.00 90.00
Sites, in units of the cell vectors:
B (0.0000, 0.0000, 0.0000)
Se (0.0000, 0.5000, 0.0000)
Se (0.5000, 0.0000, 0.0000)
N (0.0000, 0.0000, 0.5000)
Cl (0.5000, 0.5000, 0.5000)


Across the entries above, DOS at the Fermi energy takes the values 2.12, 6.30, 2.81, 3.63, 3.67, 4.31, 3.31, 2.31 states/eV/cell, respectively.
Across the entries above, raw formation energy takes the values 1.617, 0.455, 1.290, 1.716, 1.638, 2.476, 0.931, 0.131 eV per atom, respectively.